(1)
Material: ZnTeRu
Method: DFT, PBE-GGA
State: optimized geometry

abc: 4.368 4.368 4.368
angles: 60.00 60.00 60.00
Positions (direct):
Ru 0.750 0.750 0.750
Te 0.000 0.000 0.000
Zn 0.500 0.500 0.500

Output
The calculation puts the offset from the most stable computed form at 0 meV per atom. As for the density of states at the Fermi level: 3.53 states/eV per cell. The uncorrected formation energy comes out at 0.070 eV/atom. The value obtained for the total magnetic moment is 0.0 Bohr magnetons per cell.

---

(2)
Material: TbY3In
Method: DFT, PBE-GGA
State: optimized geometry

abc: 4.847 4.849 12.813
angles: 90.00 79.10 90.00
Positions (direct):
Tb 0.474 0.750 0.700
Tb 0.174 0.250 0.300
Y 0.771 0.250 0.107
Y 0.374 0.250 0.900
Y 0.574 0.250 0.500
Y 0.274 0.750 0.100
Y 0.878 0.750 0.893
Y 0.074 0.750 0.500
In 0.672 0.750 0.305
In 0.977 0.250 0.695

Output
The calculation puts the offset from the most stable computed form at 0 meV per atom. As for the density of states at the Fermi level: 13.54 states/eV per cell. The value obtained for the total magnetic moment is 0.9 Bohr magnetons per cell.

---

(3)
Material: La2ErU2Ru5
Method: DFT, PBE-GGA
State: optimized geometry

abc: 3.510 10.960 10.960
angles: 90.00 90.00 90.00
Positions (direct):
La 0.000 0.675 0.175
La 0.000 0.325 0.825
La 0.000 0.175 0.325
La 0.000 0.825 0.675
Er 0.000 0.000 0.000
Er 0.000 0.500 0.500
U 0.000 0.139 0.639
U 0.000 0.861 0.361
U 0.000 0.639 0.861
U 0.000 0.361 0.139
Ru 0.500 0.216 0.049
Ru 0.500 0.784 0.951
Ru 0.500 0.049 0.784
Ru 0.500 0.716 0.451
Ru 0.500 0.951 0.216
Ru 0.500 0.284 0.549
Ru 0.500 0.549 0.716
Ru 0.500 0.451 0.284
Ru 0.500 0.500 0.000
Ru 0.500 0.000 0.500

Output
As for the density of states at the Fermi level: 14.64 states/eV per cell. The value obtained for the total magnetic moment is 0.0 Bohr magnetons per cell.

---

Number 1: total DFT energy (no corrections) -4.494 eV per atom. Number 2: total DFT energy (no corrections) -5.539 eV per atom. Number 3: total DFT energy (no corrections) -8.573 eV per atom.